# 1
Entry from the Alexandria database: a relaxed structure of ScSiHgSb2 (PBE-GGA).

E_tot: -0.2786 Ry per atom
total moment: 0.0 μB per formula unit
N(E_F): 5.46 states/eV/cell
crystal system: tetragonal
formation energy without anion corrections: 0.270 eV/atom

a b c (Å): 5.2225 5.2225 5.1100
angles (deg): 90.00 90.00 90.00
Last column: nearest neighbours and their distance in Å.
Space group P4/mmm (No. 123)
One atom of each set of equivalent atoms:
Sc: 0.0000 0.0000 0.0000 [1 per cell]  2 Si 2.56
Si: 0.0000 0.0000 0.5000 [1 per cell]  2 Sc 2.56, 4 Sb 2.61
Hg: 0.5000 0.5000 0.0000 [1 per cell]  8 Sb 3.65, 4 Sc 3.69
Sb: 0.0000 0.5000 0.5000 [2 per cell]  2 Si 2.61

---

# 2
Entry from the Alexandria database: a relaxed structure of ScTiHgSb2 (PBE-GGA).

E_tot: -0.2702 Ry per atom
total moment: 2.6 μB per formula unit
N(E_F): 6.53 states/eV/cell
crystal system: tetragonal
formation energy without anion corrections: 0.878 eV/atom

a b c (Å): 5.5074 5.5074 5.1938
angles (deg): 90.00 90.00 90.00
Last column: nearest neighbours and their distance in Å.
Space group P4/mmm (No. 123)
One atom of each set of equivalent atoms:
Sc: 0.0000 0.0000 0.0000 [1 per cell]  2 Hg 2.60
Ti: 0.5000 0.5000 0.0000 [1 per cell]  8 Sb 3.79, 4 Sc 3.89
Hg: 0.0000 0.0000 0.5000 [1 per cell]  2 Sc 2.60, 4 Sb 2.75
Sb: 0.0000 0.5000 0.5000 [2 per cell]  2 Hg 2.75

---

# 3
Entry from the Alexandria database: a relaxed structure of ScVHgSb2 (PBE-GGA).

E_tot: -0.3060 Ry per atom
total moment: 3.6 μB per formula unit
N(E_F): 4.98 states/eV/cell
crystal system: tetragonal
formation energy without anion corrections: 0.636 eV/atom

a b c (Å): 5.4148 5.4148 5.4060
angles (deg): 90.00 90.00 90.00
Last column: nearest neighbours and their distance in Å.
Space group P4/mmm (No. 123)
One atom of each set of equivalent atoms:
Sc: 0.0000 0.0000 0.0000 [1 per cell]  2 Hg 2.70, 4 Sb 2.71
V: 0.5000 0.5000 0.5000 [1 per cell]  8 Sb 3.83, 4 Hg 3.83
Hg: 0.0000 0.0000 0.5000 [1 per cell]  2 Sc 2.70
Sb: 0.0000 0.5000 0.0000 [2 per cell]  2 Sc 2.71

---

# 4
Entry from the Alexandria database: a relaxed structure of ScHg2SbW (PBE-GGA).

E_tot: -0.2542 Ry per atom
total moment: 1.8 μB per formula unit
N(E_F): 5.15 states/eV/cell
crystal system: tetragonal
formation energy without anion corrections: 1.343 eV/atom

a b c (Å): 5.3609 5.3609 4.8681
angles (deg): 90.00 90.00 90.00
Last column: nearest neighbours and their distance in Å.
Space group P4/mmm (No. 123)
One atom of each set of equivalent atoms:
Sc: 0.0000 0.0000 0.0000 [1 per cell]  2 W 2.43, 4 Hg 2.68
Hg: 0.0000 0.5000 0.0000 [2 per cell]  2 Sc 2.68
Sb: 0.5000 0.5000 0.5000 [1 per cell]  8 Hg 3.62, 4 W 3.79
W: 0.0000 0.0000 0.5000 [1 per cell]  2 Sc 2.43

---

# 5
Entry from the Alexandria database: a relaxed structure of Hg3SbSe (PBE-GGA).

E_tot: -0.0927 Ry per atom
total moment: 1.0 μB per formula unit
N(E_F): 3.66 states/eV/cell
energy above the lowest structure with this stoichiometry: 110 meV per atom
crystal system: cubic
formation energy without anion corrections: 0.441 eV/atom

a b c (Å): 5.4121 5.4121 5.4121
angles (deg): 90.00 90.00 90.00
Last column: nearest neighbours and their distance in Å.
Space group Pm-3m (No. 221)
One atom of each set of equivalent atoms:
Hg: 0.0000 0.0000 0.5000 [3 per cell]  2 Se 2.71
Sb: 0.5000 0.5000 0.5000 [1 per cell]  12 Hg 3.83
Se: 0.0000 0.0000 0.0000 [1 per cell]  6 Hg 2.71

---

# 6
Entry from the Alexandria database: a relaxed structure of HgSbSe (PBE-GGA).

E_tot: -0.1841 Ry per atom
total moment: 0.0 μB per formula unit
N(E_F): 1.18 states/eV/cell
energy above the lowest structure with this stoichiometry: 110 meV per atom
crystal system: monoclinic
formation energy without anion corrections: 0.131 eV/atom

a b c (Å): 5.3994 5.7628 8.0305
angles (deg): 90.00 108.61 90.00
Last column: nearest neighbours and their distance in Å.
Space group P2_1 (No. 4)
One atom of each set of equivalent atoms:
Hg: 0.1917 0.0000 0.3757 [2 per cell]  2 Se 2.70-2.71
Sb: 0.4786 0.5089 0.9936 [2 per cell]  1 Se 2.63, 2 Sb 2.89
Se: 0.3198 0.5026 0.6482 [2 per cell]  1 Sb 2.63, 2 Hg 2.70-2.71

---

# 7
Entry from the Alexandria database: a relaxed structure of HgSb2Se2 (PBE-GGA).

E_tot: -0.2102 Ry per atom
total moment: 0.0 μB per formula unit
N(E_F): 7.37 states/eV/cell
energy above the lowest structure with this stoichiometry: 289 meV per atom
crystal system: tetragonal
formation energy without anion corrections: 0.243 eV/atom

a b c (Å): 4.5289 4.5289 13.8704
angles (deg): 90.00 90.00 90.00
Last column: nearest neighbours and their distance in Å.
Space group I4/mmm (No. 139)
One atom of each set of equivalent atoms:
Hg: 0.0000 0.0000 0.0000 [2 per cell]  8 Se 3.44
Sb: 0.0000 0.5000 0.2500 [4 per cell]  4 Se 3.17, 4 Sb 3.20
Se: 0.0000 0.0000 0.4103 [4 per cell]  1 Se 2.49

---

# 8
Entry from the Alexandria database: a relaxed structure of HgSbSe4 (PBE-GGA).

E_tot: -0.1873 Ry per atom
total moment: 0.0 μB per formula unit
N(E_F): 16.17 states/eV/cell
crystal system: cubic
formation energy without anion corrections: 0.512 eV/atom

a b c (Å): 8.2537 8.2537 8.2537
angles (deg): 90.00 90.00 90.00
Last column: nearest neighbours and their distance in Å.
Space group F-43m (No. 216)
One atom of each set of equivalent atoms:
Hg: 0.0000 0.0000 0.0000 [4 per cell]  12 Se 3.42, 4 Sb 3.57
Sb: 0.2500 0.2500 0.7500 [4 per cell]  12 Se 3.42, 4 Hg 3.57
Se: 0.1250 0.1250 0.3750 [16 per cell]  6 Se 2.92

---

# 9
Entry from the Alexandria database: a relaxed structure of HgSbSe (PBE-GGA).

E_tot: -0.1807 Ry per atom
total moment: 0.0 μB per formula unit
N(E_F): 2.78 states/eV/cell
energy above the lowest structure with this stoichiometry: 157 meV per atom
crystal system: tetragonal
formation energy without anion corrections: 0.178 eV/atom

a b c (Å): 3.9875 3.9875 10.2362
angles (deg): 90.00 90.00 90.00
Last column: nearest neighbours and their distance in Å.
Space group I4mm (No. 107)
One atom of each set of equivalent atoms:
Hg: 0.0000 0.0000 0.0000 [2 per cell]  4 Sb 3.06, 4 Se 3.18
Sb: 0.0000 0.0000 0.3834 [2 per cell]  1 Se 2.67
Se: 0.0000 0.0000 0.6440 [2 per cell]  1 Sb 2.67

---

# 10
Entry from the Alexandria database: a relaxed structure of HgSb2Se2 (PBE-GGA).

E_tot: -0.2314 Ry per atom
total moment: 0.0 μB per formula unit
N(E_F): 0.65 states/eV/cell
energy above the lowest structure with this stoichiometry: 0 meV per atom
crystal system: tetragonal
formation energy without anion corrections: -0.046 eV/atom

a b c (Å): 5.6083 5.6083 9.3899
angles (deg): 90.00 90.00 90.00
Last column: nearest neighbours and their distance in Å.
Space group I4/mmm (No. 139)
One atom of each set of equivalent atoms:
Hg: 0.0000 0.0000 0.0000 [2 per cell]  2 Sb 3.08
Sb: 0.0000 0.0000 0.3283 [4 per cell]  4 Se 2.90, 1 Hg 3.08, 1 Sb 3.23
Se: 0.0000 0.5000 0.2500 [4 per cell]  4 Sb 2.90

---

# 11
Entry from the Alexandria database: a relaxed structure of HgSb2Se2 (PBE-GGA).

E_tot: -0.2167 Ry per atom
total moment: 0.0 μB per formula unit
N(E_F): 5.82 states/eV/cell
energy above the lowest structure with this stoichiometry: 201 meV per atom
crystal system: tetragonal
formation energy without anion corrections: 0.155 eV/atom

a b c (Å): 8.3861 8.3861 3.6656
angles (deg): 90.00 90.00 90.00
Last column: nearest neighbours and their distance in Å.
Space group P4/mbm (No. 127)
One atom of each set of equivalent atoms:
Hg: 0.0000 0.0000 0.0000 [2 per cell]  4 Se 3.17
Sb: 0.1571 0.3429 0.5000 [4 per cell]  6 Se 2.88-3.20
Se: 0.1551 0.6551 0.0000 [4 per cell]  6 Sb 2.88-3.20, 2 Hg 3.17

---

# 12
Entry from the Alexandria database: a relaxed structure of HgSb4Se7 (PBE-GGA).

E_tot: -0.2691 Ry per atom
total moment: 0.0 μB per formula unit
N(E_F): 3.00 states/eV/cell
crystal system: trigonal
formation energy without anion corrections: -0.230 eV/atom

a b c (Å): 4.1026 4.1026 23.3868
angles (deg): 90.00 90.00 120.00
Last column: nearest neighbours and their distance in Å.
Space group P-3m1 (No. 164)
One atom of each set of equivalent atoms:
Hg: 0.0000 0.0000 0.0000 [1 per cell]  6 Se 2.89
Sb: 0.3333 0.6667 0.1501 [2 per cell]  6 Se 2.81-3.01
Sb: 0.3333 0.6667 0.4197 [2 per cell]  6 Se 2.83-3.02
Se: 0.0000 0.0000 0.2151 [2 per cell]  3 Sb 2.81
Se: 0.0000 0.0000 0.5000 [1 per cell]  6 Sb 3.02
Se: 0.3333 0.6667 0.6463 [2 per cell]  3 Sb 2.83
Se: 0.3333 0.6667 0.9293 [2 per cell]  3 Hg 2.89, 3 Sb 3.01

---

# 13
Entry from the Alexandria database: a relaxed structure of HgSbSe3 (PBE-GGA).

E_tot: -0.2279 Ry per atom
total moment: 0.0 μB per formula unit
N(E_F): 20.11 states/eV/cell
energy above the lowest structure with this stoichiometry: 0 meV per atom
crystal system: monoclinic
formation energy without anion corrections: -0.125 eV/atom

a b c (Å): 13.9223 12.0244 7.0148
angles (deg): 90.00 94.88 90.00
Last column: nearest neighbours and their distance in Å.
Space group C2/c (No. 15)
One atom of each set of equivalent atoms:
Hg: 0.1231 0.0852 0.2715 [8 per cell]  3 Se 2.60-2.66
Sb: 0.0000 0.2555 0.7500 [4 per cell]  6 Se 2.80-2.82
Sb: 0.0000 0.4195 0.2500 [4 per cell]  6 Se 2.78-2.85
Se: 0.1187 0.4153 0.5970 [8 per cell]  3 Sb 2.81-2.85
Se: 0.1248 0.2743 0.0862 [8 per cell]  1 Hg 2.62, 2 Sb 2.78-2.82
Se: 0.1484 0.1157 0.6487 [8 per cell]  2 Hg 2.60-2.66, 1 Sb 2.80

---

# 14
Entry from the Alexandria database: a relaxed structure of Hg4SbSe (PBE-GGA).

E_tot: -0.0814 Ry per atom
total moment: 0.0 μB per formula unit
N(E_F): 24.10 states/eV/cell
crystal system: cubic
formation energy without anion corrections: 0.361 eV/atom

a b c (Å): 8.5027 8.5027 8.5027
angles (deg): 90.00 90.00 90.00
Last column: nearest neighbours and their distance in Å.
Space group F-43m (No. 216)
One atom of each set of equivalent atoms:
Hg: 0.1253 0.1253 0.1253 [16 per cell]  6 Hg 3.00-3.01
Sb: 0.2500 0.2500 0.7500 [4 per cell]  12 Hg 3.53, 4 Se 3.68
Se: 0.0000 0.0000 0.5000 [4 per cell]  12 Hg 3.52, 4 Sb 3.68

---

# 15
Entry from the Alexandria database: a relaxed structure of Hg4SbSe6 (PBE-GGA).

E_tot: -0.1838 Ry per atom
total moment: 0.0 μB per formula unit
N(E_F): 3.81 states/eV/cell
crystal system: monoclinic
formation energy without anion corrections: -0.115 eV/atom

a b c (Å): 13.2915 7.7291 13.3495
angles (deg): 90.00 110.04 90.00
Last column: nearest neighbours and their distance in Å.
Space group Cc (No. 9)
One atom of each set of equivalent atoms:
Hg: 0.0000 0.0786 0.0000 [4 per cell]  4 Se 2.74-2.79
Hg: 0.1234 0.3145 0.3413 [4 per cell]  4 Se 2.76-2.96
Hg: 0.3044 0.3933 0.6919 [4 per cell]  4 Se 2.72-2.91
Hg: 0.3298 0.0894 0.9935 [4 per cell]  4 Se 2.72-2.86
Sb: 0.0436 0.2060 0.7391 [4 per cell]  4 Se 2.56-2.66
Se: 0.0963 0.4834 0.6619 [4 per cell]  1 Sb 2.58, 2 Hg 2.75-2.78
Se: 0.1354 0.2828 0.9360 [4 per cell]  1 Sb 2.56, 2 Hg 2.74-2.85
Se: 0.1603 0.0475 0.1991 [4 per cell]  1 Sb 2.66, 1 Se 2.78, 2 Hg 2.79-2.96
Se: 0.3151 0.2603 0.5046 [4 per cell]  4 Hg 2.72-2.77
Se: 0.3371 0.2340 0.1933 [4 per cell]  1 Sb 2.64, 1 Se 2.78, 2 Hg 2.86-2.91
Se: 0.4402 0.2796 0.8829 [4 per cell]  4 Hg 2.72-2.82

---

# 16
Entry from the Alexandria database: a relaxed structure of HgSbSe (PBE-GGA).

E_tot: -0.1793 Ry per atom
total moment: 0.0 μB per formula unit
N(E_F): 12.46 states/eV/cell
energy above the lowest structure with this stoichiometry: 176 meV per atom
crystal system: cubic
formation energy without anion corrections: 0.197 eV/atom

a b c (Å): 7.0916 7.0916 7.0916
angles (deg): 90.00 90.00 90.00
Last column: nearest neighbours and their distance in Å.
Space group F-43m (No. 216)
One atom of each set of equivalent atoms:
Hg: 0.0000 0.0000 0.0000 [4 per cell]  4 Sb 3.07
Sb: 0.2500 0.2500 0.7500 [4 per cell]  4 Hg 3.07, 4 Se 3.07
Se: 0.0000 0.0000 0.5000 [4 per cell]  4 Sb 3.07

---

# 17
Entry from the Alexandria database: a relaxed structure of HgSbSe (PBE-GGA).

E_tot: -0.1905 Ry per atom
total moment: 0.0 μB per formula unit
N(E_F): 1.94 states/eV/cell
energy above the lowest structure with this stoichiometry: 24 meV per atom
crystal system: tetragonal
formation energy without anion corrections: 0.045 eV/atom

a b c (Å): 3.6766 3.6766 13.9263
angles (deg): 90.00 90.00 90.00
Last column: nearest neighbours and their distance in Å.
Space group I4mm (No. 107)
One atom of each set of equivalent atoms:
Hg: 0.0000 0.0000 0.0000 [2 per cell]  4 Hg 3.68, 4 Sb 3.76, 5 Se 3.89-4.03
Sb: 0.0000 0.0000 0.6953 [2 per cell]  4 Se 2.85
Se: 0.0000 0.0000 0.2793 [2 per cell]  4 Sb 2.85

---

# 18
Entry from the Alexandria database: a relaxed structure of HgSb2Se2 (PBE-GGA).

E_tot: -0.2315 Ry per atom
total moment: 0.0 μB per formula unit
N(E_F): 2.84 states/eV/cell
energy above the lowest structure with this stoichiometry: 0 meV per atom
crystal system: tetragonal
formation energy without anion corrections: -0.046 eV/atom

a b c (Å): 8.5776 8.5776 3.9088
angles (deg): 90.00 90.00 90.00
Last column: nearest neighbours and their distance in Å.
Space group P4/mbm (No. 127)
One atom of each set of equivalent atoms:
Hg: 0.0000 0.0000 0.0000 [2 per cell]  4 Sb 3.08
Sb: 0.2057 0.2943 0.0000 [4 per cell]  2 Se 2.68
Se: 0.1433 0.6433 0.5000 [4 per cell]  2 Sb 2.68

---

# 19
Entry from the Alexandria database: a relaxed structure of HgSbSe (PBE-GGA).

E_tot: -0.1922 Ry per atom
total moment: 0.0 μB per formula unit
N(E_F): 1.50 states/eV/cell
energy above the lowest structure with this stoichiometry: 0 meV per atom
crystal system: trigonal
formation energy without anion corrections: 0.021 eV/atom

a b c (Å): 4.0155 4.0155 5.7419
angles (deg): 90.00 90.00 120.00
Last column: nearest neighbours and their distance in Å.
Space group P3m1 (No. 156)
One atom of each set of equivalent atoms:
Hg: 0.0000 0.0000 0.0000 [1 per cell]  3 Se 3.04, 3 Sb 3.08
Sb: 0.6667 0.3333 0.3540 [1 per cell]  3 Se 2.90, 3 Hg 3.08
Se: 0.3333 0.6667 0.6587 [1 per cell]  3 Sb 2.90, 3 Hg 3.04

---

# 20
Entry from the Alexandria database: a relaxed structure of Hg3SbSe (PBE-GGA).

E_tot: -0.1008 Ry per atom
total moment: 0.4 μB per formula unit
N(E_F): 5.61 states/eV/cell
energy above the lowest structure with this stoichiometry: 0 meV per atom
crystal system: cubic
formation energy without anion corrections: 0.332 eV/atom

a b c (Å): 5.5856 5.5856 5.5856
angles (deg): 90.00 90.00 90.00
Last column: nearest neighbours and their distance in Å.
Space group Pm-3m (No. 221)
One atom of each set of equivalent atoms:
Hg: 0.0000 0.0000 0.5000 [3 per cell]  2 Sb 2.79
Sb: 0.0000 0.0000 0.0000 [1 per cell]  6 Hg 2.79
Se: 0.5000 0.5000 0.5000 [1 per cell]  12 Hg 3.95